(1)
This record from Alexandria describes a PBEsol-optimized structure of CuOs2W. The functional is meta-GGA SCAN.

Cell lengths 2.645, 2.645, 9.010 Å; angles 90.00, 90.00, 115.43 degrees
Atoms (fractional coordinates):
Cu: 0.500 0.500 0.249
Os: 0.000 0.000 0.004
Os: 0.500 0.500 0.750
W: 0.000 0.000 0.497

Summary:
Final energy: -226.36 eV per formula unit
Formation enthalpy at 0 K: 0.57 eV per atom
Space group: Cmm2
Crystal system: orthorhombic


(2)
This record from Alexandria describes a PBEsol-optimized structure of CuOs2W. The functional is meta-GGA SCAN.

Cell lengths 2.657, 2.657, 8.861 Å; angles 90.00, 90.00, 114.65 degrees
Atoms (fractional coordinates):
Cu: 0.500 0.500 0.000
Os: 0.000 0.000 0.247
Os: 0.000 0.000 0.753
W: 0.500 0.500 0.500

Summary:
Final energy: -226.95 eV per formula unit
Formation enthalpy at 0 K: 0.43 eV per atom
Space group: Cmmm
Crystal system: orthorhombic


(3)
This record from Alexandria describes a PBEsol-optimized structure of CuOs2W. The functional is meta-GGA SCAN.

Cell lengths 2.762, 2.762, 7.269 Å; angles 90.00, 90.00, 90.00 degrees
Atoms (fractional coordinates):
Cu: 0.500 0.500 0.500
Os: 0.000 0.000 0.739
Os: 0.000 0.000 0.261
W: 0.500 0.500 0.000

Summary:
Final energy: -227.41 eV per formula unit
Formation enthalpy at 0 K: 0.31 eV per atom
Space group: P4/mmm
Crystal system: tetragonal


Looking at offset from the most stable computed form for the records above, in order, we have 0.4112, 0.2634, 0.1471 eV/atom.